# PBE with a Hubbard U Zn2NiSeO6, optimized geometry
# VASP energy	-194.11	eV per cell
# magnetization	7.99	μB per cell
# theoretical density	5.51	g/cm³
# calculated volume	10.981	A^3/atom
data_Zn2NiSeO6
_chemical_formula_sum 'Zn8 Ni4 Se4 O24'
_space_group_name_H-M_alt 'C 1 2/c 1'
_space_group_IT_number 15
_space_group_name_Hall '-C 2yc'
_cell_length_a 9.532
_cell_length_b 8.875
_cell_length_c 5.226
_cell_angle_alpha 90.00
_cell_angle_beta 96.57
_cell_angle_gamma 90.00
loop_
_atom_site_label
_atom_site_fract_x
_atom_site_fract_y
_atom_site_fract_z
Zn1 0.182 0.099 0.291
Ni1 0.000 0.416 0.250
Se1 0.000 0.241 0.750
O1 0.102 0.257 0.063
O2 0.109 0.400 0.625
O3 0.121 0.102 0.643